No. 1
A relaxed Ba5CeP4 crystal. Source: the Alexandria database, functional PBE.

Output
electronic total energy: -93.24 eV/cell
energy relative to the elements: -0.943 eV per atom

Geometry as CIF:
```
data_Ba5CeP4
_cell_length_a 19.806
_cell_length_b 4.513
_cell_length_c 9.022
_cell_angle_alpha 90.00
_cell_angle_beta 102.76
_cell_angle_gamma 90.00
_symmetry_space_group_name_H-M 'C 1 2/m 1'
_symmetry_Int_Tables_number 12
_symmetry_space_group_name_Hall '-C 2y'
loop_
_atom_site_label
_atom_site_fract_x
_atom_site_fract_y
_atom_site_fract_z
_atom_site_occupancy
Ba1 0.000 0.000 0.000 1
Ba2 0.157 0.500 0.815 1
Ba3 0.167 0.500 0.350 1
Ce1 0.000 0.000 0.500 1
P1 0.002 0.500 0.275 1
P2 0.156 0.000 0.582 1
```


No. 2
A relaxed BaCeP2 crystal. Source: the Alexandria database, functional PBE.

Output
electronic total energy: -70.78 eV/cell
energy relative to the elements: -1.229 eV per atom

Geometry as CIF:
```
data_BaCeP2
_cell_length_a 4.3016
_cell_length_b 4.3016
_cell_length_c 21.8033
_cell_angle_alpha 90.00
_cell_angle_beta 90.00
_cell_angle_gamma 120.00
_symmetry_space_group_name_H-M 'R -3 m'
_symmetry_Int_Tables_number 166
_symmetry_space_group_name_Hall '-R 3 2"'
loop_
_atom_site_label
_atom_site_fract_x
_atom_site_fract_y
_atom_site_fract_z
_atom_site_occupancy
Ba1 0.0000 0.0000 0.0000 1
Ce1 0.0000 0.0000 0.5000 1
P1 0.0000 0.0000 0.2341 1
```


No. 3
A relaxed BaCeP2 crystal. Source: the Alexandria database, functional PBE.

Output
electronic total energy: -70.00 eV/cell
energy relative to the elements: -1.164 eV per atom

Geometry as CIF:
```
data_BaCeP2
_cell_length_a 4.2521
_cell_length_b 4.2521
_cell_length_c 22.3519
_cell_angle_alpha 90.00
_cell_angle_beta 90.00
_cell_angle_gamma 120.00
_symmetry_space_group_name_H-M 'R 3 m'
_symmetry_Int_Tables_number 160
_symmetry_space_group_name_Hall 'R 3 -2"'
loop_
_atom_site_label
_atom_site_fract_x
_atom_site_fract_y
_atom_site_fract_z
_atom_site_occupancy
Ba1 0.0000 0.0000 0.0000 1
Ce1 0.0000 0.0000 0.1700 1
P1 0.0000 0.0000 0.5712 1
P2 0.0000 0.0000 0.7689 1
```


No. 4
A relaxed Ba3CePa2P6 crystal. Source: the Alexandria database, functional PBE.

Output
electronic total energy: -155.22 eV/cell
energy relative to the elements: -1.205 eV per atom

Geometry as CIF:
```
data_Ba3CePa2P6
_cell_length_a 7.332
_cell_length_b 12.697
_cell_length_c 7.683
_cell_angle_alpha 90.00
_cell_angle_beta 108.54
_cell_angle_gamma 90.00
_symmetry_space_group_name_H-M 'C 1 2/m 1'
_symmetry_Int_Tables_number 12
_symmetry_space_group_name_Hall '-C 2y'
loop_
_atom_site_label
_atom_site_fract_x
_atom_site_fract_y
_atom_site_fract_z
_atom_site_occupancy
Ba1 0.000 0.000 0.000 1
Ba2 0.000 0.336 0.000 1
Ce1 0.000 0.500 0.500 1
Pa1 0.000 0.167 0.500 1
P1 0.221 0.000 0.699 1
P2 0.240 0.327 0.700 1
```


No. 5
A relaxed BaCeP2S8 crystal. Source: the Alexandria database, functional PBE.

Output
electronic total energy: -62.58 eV/cell

Geometry as CIF:
```
data_BaCeP2S8
_cell_length_a 6.1227
_cell_length_b 6.1227
_cell_length_c 9.2744
_cell_angle_alpha 90.00
_cell_angle_beta 90.00
_cell_angle_gamma 120.00
_symmetry_space_group_name_H-M 'P -3'
_symmetry_Int_Tables_number 147
_symmetry_space_group_name_Hall '-P 3'
loop_
_atom_site_label
_atom_site_fract_x
_atom_site_fract_y
_atom_site_fract_z
_atom_site_occupancy
Ba1 0.0000 0.0000 0.0000 1
Ce1 0.0000 0.0000 0.5000 1
P1 0.3333 0.6667 0.7590 1
S1 0.0055 0.3523 0.6890 1
S2 0.3333 0.6667 0.9748 1
```


No. 6
A relaxed BaCe2SnP4 crystal. Source: the Alexandria database, functional PBE.

Output
electronic total energy: -187.76 eV/cell
energy relative to the elements: -0.938 eV per atom

Geometry as CIF:
```
data_BaCe2SnP4
_cell_length_a 4.316
_cell_length_b 14.307
_cell_length_c 14.073
_cell_angle_alpha 90.00
_cell_angle_beta 90.00
_cell_angle_gamma 90.00
_symmetry_space_group_name_H-M 'C m c m'
_symmetry_Int_Tables_number 63
_symmetry_space_group_name_Hall '-C 2c 2'
loop_
_atom_site_label
_atom_site_fract_x
_atom_site_fract_y
_atom_site_fract_z
_atom_site_occupancy
Ba1 0.000 0.117 0.250 1
Ce1 0.000 0.372 0.052 1
Sn1 0.000 0.150 0.750 1
P1 0.000 0.000 0.000 1
P2 0.000 0.260 0.612 1
P3 0.000 0.445 0.250 1
```